[1]
Here is an optimized crystal structure of ThPaNb2 from Alexandria. Energies are from PBE.

Cell: 3.5119 3.5119 7.7460 Å, 90.00 90.00 90.00°
Atoms (fractional coordinates):
Nb (0.0000, 0.0000, 0.1977)
Th (0.5000, 0.5000, 0.5000)
Nb (0.0000, 0.0000, 0.8023)
Pa (0.5000, 0.5000, 0.0000)

Summary:
Calculated volume   95.5 Å³/f.u.
Size of the total moment   0.0 μB/f.u.
Calculated formation energy   0.2281 eV per atom
Space-group type   P4/mmm (123)
Density of states at the Fermi level   6.67 states/eV/cell



[2]
Here is an optimized crystal structure of TaSi2PbO8 from Alexandria. Energies are from PBE.

Cell: 5.0836 5.0836 7.2418 Å, 92.63 92.63 65.51°
Each line ends with the local moment (μB).
Atoms (fractional coordinates):
O (0.2153, 0.2153, 0.9302)  0.01
O (0.2984, 0.7915, 0.1980)  0.04
Ta (0.0000, 0.0000, 0.0000)  0.01
O (0.7016, 0.2085, 0.8020)  0.04
O (0.7847, 0.7847, 0.0698)  0.01
Si (0.6554, 0.6554, 0.2261)  0.00
O (0.7338, 0.7338, 0.4368)  0.27
Si (0.3446, 0.3446, 0.7739)  0.00
O (0.2085, 0.7016, 0.8020)  0.04
Pb (0.0000, 0.0000, 0.5000)  0.17
O (0.2662, 0.2662, 0.5632)  0.27
O (0.7915, 0.2984, 0.1980)  0.04

Summary:
Calculated volume   170.1 Å³/f.u.
Size of the total moment   1.0 μB/f.u.
Uncorrected formation energy   -53.73 kcal/mol of atoms
Space-group type   C2/m (12)
Density of states at the Fermi level   1.58 states/eV/cell



[3]
Here is an optimized crystal structure of NaTl2Pb2 from Alexandria. Energies are from PBE.

Cell: 5.5612 5.5612 6.4902 Å, 64.63 64.63 59.99°
Atoms (fractional coordinates):
Tl (0.6009, 0.1009, 0.1975)
Pb (0.1985, 0.6985, 0.4046)
Na (0.0000, 0.5000, 0.0000)
Tl (0.3991, 0.8991, 0.8025)
Pb (0.8015, 0.3015, 0.5954)

Summary:
Calculated volume   151.1 Å³/f.u.
Size of the total moment   0.0 μB/f.u.
Calculated formation energy   -0.0621 eV per atom
Space-group type   R-3m (166)
Density of states at the Fermi level   2.67 states/eV/cell